Density functional theory data (PBE+U) for Sc3Mn2CdO8 after structural relaxation.

```
Sc3Mn2CdO8
1.0
6.353 0.000 0.000
3.177 5.502 0.000
3.177 1.834 5.036
Mn O Sc Cd
2 8 3 1
Cartesian
6.353 3.668 2.534 Mn
3.177 1.834 3.142 Mn
6.353 5.309 3.792 O
7.774 2.848 3.792 O
3.177 1.834 1.076 O
6.353 2.103 1.256 O
4.933 2.848 3.792 O
7.709 4.451 1.256 O
9.530 5.502 4.032 O
4.998 4.451 1.256 O
4.763 2.750 0.003 Sc
1.591 2.750 0.003 Sc
3.177 0.003 0.003 Sc
9.530 5.502 1.873 Cd
```

Computed properties:
Magnetic moment   7.0 μB per formula unit
VASP energy   -7.80 eV per atom
ρ   4.58 Mg/m³